Compound: Cu3Ag2
Source: OQMD via LeMat-Bulk
Functional: PBE
Structure: optimized geometry

a = 2.833 Å, b = 2.833 Å, c = 17.751 Å
α = 90.00°, β = 90.00°, γ = 90.00°
Fractional coordinates of all 10 atoms:
Cu 0.250 0.250 0.042
Cu 0.250 0.250 0.458
Cu 0.250 0.250 0.627
Cu 0.750 0.750 0.373
Cu 0.750 0.750 0.542
Cu 0.750 0.750 0.958
Ag 0.250 0.250 0.269
Ag 0.250 0.250 0.854
Ag 0.750 0.750 0.146
Ag 0.750 0.750 0.731

Energy of formation = 0.3 eV/f.u.

---

Compound: CuAg
Source: OQMD via LeMat-Bulk
Functional: PBE
Structure: optimized geometry

a = 17.904 Å, b = 17.904 Å, c = 17.904 Å
α = 8.91°, β = 8.91°, γ = 8.91°
Fractional coordinates of all 8 atoms:
Cu 0.125 0.125 0.125
Cu 0.245 0.245 0.245
Cu 0.755 0.755 0.755
Cu 0.875 0.875 0.875
Ag 0.000 0.000 0.000
Ag 0.380 0.380 0.380
Ag 0.500 0.500 0.500
Ag 0.620 0.620 0.620

Energy of formation = 0.2 eV/f.u.

---

Compound: CuAg
Source: OQMD via LeMat-Bulk
Functional: PBE
Structure: optimized geometry

a = 2.806 Å, b = 2.806 Å, c = 26.450 Å
α = 89.75°, β = 89.89°, γ = 60.05°
Fractional coordinates of all 12 atoms:
Cu 0.000 0.000 0.000
Cu 0.007 0.993 0.221
Cu 0.334 0.329 0.147
Cu 0.353 0.314 0.367
Cu 0.664 0.664 0.073
Cu 0.677 0.657 0.294
Ag 0.039 0.960 0.451
Ag 0.067 0.939 0.729
Ag 0.348 0.330 0.916
Ag 0.398 0.275 0.637
Ag 0.712 0.619 0.544
Ag 0.718 0.629 0.822

Energy of formation = 0.2 eV/f.u.

---

Please write out number 1 again, unchanged.
Compound: Cu3Ag2
Source: OQMD via LeMat-Bulk
Functional: PBE
Structure: optimized geometry

a = 2.833 Å, b = 2.833 Å, c = 17.751 Å
α = 90.00°, β = 90.00°, γ = 90.00°
Fractional coordinates of all 10 atoms:
Cu 0.250 0.250 0.042
Cu 0.250 0.250 0.458
Cu 0.250 0.250 0.627
Cu 0.750 0.750 0.373
Cu 0.750 0.750 0.542
Cu 0.750 0.750 0.958
Ag 0.250 0.250 0.269
Ag 0.250 0.250 0.854
Ag 0.750 0.750 0.146
Ag 0.750 0.750 0.731

Energy of formation = 0.3 eV/f.u.

---

> Which of these has the highest energy of formation?

Cu3Ag2

---

> Number 1 is which compound?

Cu3Ag2